A plane-wave DFT calculation with GGA-PBE was carried out for a relaxed CsSnI2O crystal.

Lattice parameters (Å, degrees): 6.5011 6.5011 4.1573 90.00 90.00 90.00
Positions (direct):
Cs 0.0000 0.0000 0.0000
Sn 0.5000 0.5000 0.5000
I 0.0000 0.5000 0.5000
I 0.5000 0.0000 0.5000
O 0.5000 0.5000 0.0000

For the total energy, the calculation gives -3.56 eV per atom. As for the space group: P4/mmm, No. 123. The value obtained for the polymorph energy (0 for the lowest one) is 0 meV per atom. As for the total magnetization: 0.000 μB/f.u. The value obtained for the density of states at the Fermi level is 0.19 states/eV/atom. The uncorrected formation energy is -0.98 eV per atom.

A plane-wave DFT calculation with GGA-PBE was carried out for a relaxed PmHo3Ga crystal.

Lattice parameters (Å, degrees): 7.3835 7.3835 7.6854 120.17 120.17 73.04
Positions (direct):
Pm 0.0535 0.0535 0.3227
Pm 0.9465 0.9465 0.6773
Ho 0.1018 0.4890 0.2595
Ho 0.4295 0.4295 0.7327
Ho 0.4890 0.1018 0.2595
Ho 0.5110 0.8982 0.7405
Ho 0.5705 0.5705 0.2673
Ho 0.8982 0.5110 0.7405
Ga 0.2624 0.2624 0.9013
Ga 0.7376 0.7376 0.0987

For the total energy, the calculation gives -4.38 eV per atom. As for the space group: C2/m, No. 12. As for the total magnetization: 0.000 μB/f.u. The value obtained for the density of states at the Fermi level is 1.29 states/eV/atom. The formation energy from the elements is -0.36 eV per formula unit.

A plane-wave DFT calculation with GGA-PBE was carried out for a relaxed CdB2H8 crystal.

Lattice parameters (Å, degrees): 5.9883 5.9883 5.8400 90.00 90.00 90.00
Positions (direct):
Cd 0.0000 0.0000 0.0000
Cd 0.5000 0.5000 0.5000
B 0.2302 0.2302 0.7343
B 0.2698 0.7302 0.2343
B 0.7302 0.2698 0.2343
B 0.7698 0.7698 0.7343
H 0.0540 0.3054 0.8123
H 0.1311 0.8689 0.3019
H 0.1946 0.5540 0.3123
H 0.2037 0.2037 0.5310
H 0.2963 0.7037 0.0310
H 0.3054 0.0540 0.8123
H 0.3689 0.3689 0.8019
H 0.4460 0.8054 0.3123
H 0.5540 0.1946 0.3123
H 0.6311 0.6311 0.8019
H 0.6946 0.9460 0.8123
H 0.7037 0.2963 0.0310
H 0.7963 0.7963 0.5310
H 0.8054 0.4460 0.3123
H 0.8689 0.1311 0.3019
H 0.9460 0.6946 0.8123

For the total energy, the calculation gives -3.77 eV per atom. As for the space group: P4_2nm, No. 102. The value obtained for the polymorph energy (0 for the lowest one) is 2 meV per atom. As for the total magnetization: 0.000 μB/f.u. The value obtained for the density of states at the Fermi level is 0.00 states/eV/atom.

A plane-wave DFT calculation with GGA-PBE was carried out for a relaxed Ac2MgZr crystal.

Lattice parameters (Å, degrees): 12.8027 12.8027 12.8027 15.81 15.81 15.81
Positions (direct):
Ac 0.0857 0.0857 0.0857
Ac 0.9143 0.9143 0.9143
Mg 0.5000 0.5000 0.5000
Zr 0.0000 0.0000 0.0000

For the total energy, the calculation gives -4.09 eV per atom. As for the space group: R-3m, No. 166. The value obtained for the polymorph energy (0 for the lowest one) is 350 meV per atom. As for the total magnetization: 0.403 μB/f.u. The value obtained for the density of states at the Fermi level is 1.16 states/eV/atom. The formation energy from the elements is 2.00 eV per formula unit.

A plane-wave DFT calculation with GGA-PBE was carried out for a relaxed K4BaU3S12 crystal.

Lattice parameters (Å, degrees): 9.2353 9.2353 9.2353 109.47 109.47 109.47
Positions (direct):
K 0.0000 0.0000 0.5000
K 0.0000 0.5000 0.0000
K 0.5000 0.0000 0.0000
K 0.5000 0.5000 0.5000
Ba 0.0000 0.0000 0.0000
U 0.0000 0.5000 0.5000
U 0.5000 0.0000 0.5000
U 0.5000 0.5000 0.0000
S 0.0000 0.2742 0.2742
S 0.0000 0.7258 0.7258
S 0.2500 0.5000 0.7500
S 0.2500 0.7500 0.5000
S 0.2742 0.0000 0.2742
S 0.2742 0.2742 0.0000
S 0.5000 0.2500 0.7500
S 0.5000 0.7500 0.2500
S 0.7258 0.0000 0.7258
S 0.7258 0.7258 0.0000
S 0.7500 0.2500 0.5000
S 0.7500 0.5000 0.2500

For the total energy, the calculation gives -5.76 eV per atom. As for the space group: Im-3m, No. 229. As for the total magnetization: 0.308 μB/f.u. The uncorrected formation energy is -1.27 eV per atom.

A plane-wave DFT calculation with GGA-PBE was carried out for a relaxed PmNd5Dy5 crystal.

Lattice parameters (Å, degrees): 9.9790 9.9790 7.0534 110.48 110.48 35.17
Positions (direct):
Pm 0.0000 0.0000 0.0000
Nd 0.1761 0.1761 0.4205
Nd 0.1760 0.1760 0.9323
Nd 0.5000 0.5000 0.0000
Nd 0.8240 0.8240 0.0677
Nd 0.8239 0.8239 0.5795
Dy 0.0000 0.0000 0.5000
Dy 0.3302 0.3302 0.8289
Dy 0.3766 0.3766 0.3751
Dy 0.6234 0.6234 0.6249
Dy 0.6698 0.6698 0.1711

For the total energy, the calculation gives -4.44 eV per atom. As for the space group: C2/m, No. 12. The value obtained for the polymorph energy (0 for the lowest one) is 108 meV per atom. As for the total magnetization: 0.452 μB/f.u. The value obtained for the density of states at the Fermi level is 1.65 states/eV/atom. The formation energy from the elements is 2.76 eV per formula unit.

A plane-wave DFT calculation with GGA-PBE was carried out for a relaxed CsMo3Br crystal.

Lattice parameters (Å, degrees): 5.0352 5.0352 5.0352 90.00 90.00 90.00
Positions (direct):
Cs 0.0000 0.0000 0.0000
Mo 0.0000 0.0000 0.5000
Mo 0.0000 0.5000 0.0000
Mo 0.5000 0.0000 0.0000
Br 0.5000 0.5000 0.5000

For the total energy, the calculation gives -3.63 eV per atom. As for the space group: Pm-3m, No. 221. The value obtained for the polymorph energy (0 for the lowest one) is 1233 meV per atom. As for the total magnetization: 2.903 μB/f.u. The value obtained for the density of states at the Fermi level is 1.80 states/eV/atom. The uncorrected formation energy is 3.37 eV per atom.

A plane-wave DFT calculation with GGA-PBE was carried out for a relaxed TaTlHg2 crystal.

Lattice parameters (Å, degrees): 3.1900 3.1900 10.4172 90.00 90.00 120.56
Positions (direct):
Ta 0.0000 0.0000 0.0000
Tl 0.5000 0.5000 0.7545
Hg 0.0000 0.0000 0.4843
Hg 0.5000 0.5000 0.2323

For the total energy, the calculation gives -3.26 eV per atom. As for the space group: Cmm2, No. 35. As for the total magnetization: 0.000 μB/f.u. The value obtained for the density of states at the Fermi level is 0.61 states/eV/atom. The formation energy from the elements is 1.79 eV per formula unit.

A plane-wave DFT calculation with GGA-PBE was carried out for a relaxed Tb2PrCu crystal.

Lattice parameters (Å, degrees): 6.4271 6.4271 7.5592 90.00 90.00 134.50
Positions (direct):
Tb 0.1493 0.8507 0.5299
Tb 0.1493 0.8507 0.9701
Tb 0.8507 0.1493 0.0299
Tb 0.8507 0.1493 0.4701
Pr 0.4511 0.5489 0.7500
Pr 0.5489 0.4511 0.2500
Cu 0.2989 0.7011 0.2500
Cu 0.7011 0.2989 0.7500

For the total energy, the calculation gives -4.59 eV per atom. As for the space group: Cmcm, No. 63. The value obtained for the polymorph energy (0 for the lowest one) is 36 meV per atom. As for the total magnetization: 0.000 μB/f.u. The value obtained for the density of states at the Fermi level is 1.31 states/eV/atom. The formation energy from the elements is -0.24 eV per formula unit.

A plane-wave DFT calculation with GGA-PBE was carried out for a relaxed LuAl2Rh crystal.

Lattice parameters (Å, degrees): 3.1026 3.1026 7.2606 90.00 90.00 90.00
Positions (direct):
Lu 0.0000 0.0000 0.0000
Al 0.5000 0.5000 0.3046
Al 0.5000 0.5000 0.6954
Rh 0.0000 0.0000 0.5000

For the total energy, the calculation gives -5.51 eV per atom. As for the space group: P4/mmm, No. 123. As for the total magnetization: 0.006 μB/f.u. The value obtained for the density of states at the Fermi level is 0.76 states/eV/atom. The formation energy from the elements is -2.67 eV per formula unit.

A plane-wave DFT calculation with GGA-PBE was carried out for a relaxed Ca2TlW crystal.

Lattice parameters (Å, degrees): 5.2083 5.2083 3.8593 90.00 90.00 90.00
Positions (direct):
Ca 0.0000 0.5000 0.0000
Ca 0.5000 0.0000 0.0000
Tl 0.0000 0.0000 0.5000
W 0.5000 0.5000 0.5000

For the total energy, the calculation gives -4.12 eV per atom. As for the space group: P4/mmm, No. 123. The value obtained for the polymorph energy (0 for the lowest one) is 224 meV per atom. As for the total magnetization: 3.076 μB/f.u. The value obtained for the density of states at the Fermi level is 0.83 states/eV/atom. The formation energy from the elements is 2.86 eV per formula unit.

A plane-wave DFT calculation with GGA-PBE was carried out for a relaxed PBr crystal.

Lattice parameters (Å, degrees): 4.0539 3.6155 7.8356 90.00 92.01 90.00
Positions (direct):
P 0.1828 0.2500 0.0110
P 0.8172 0.7500 0.9890
Br 0.2173 0.2500 0.2979
Br 0.7827 0.7500 0.7021

For the total energy, the calculation gives -3.67 eV per atom. As for the space group: P2_1/m, No. 11. The value obtained for the polymorph energy (0 for the lowest one) is 0 meV per atom. As for the total magnetization: 0.000 μB/f.u. The uncorrected formation energy is -0.13 eV per atom.